! NiRuRh (GGA-PBE, relaxed); values from VASP
&SYSTEM
  ibrav = 0, nat = 12, ntyp = 3
/
ATOMIC_SPECIES
Ni 58.69 Ni.upf
Ru 101.07 Ru.upf
Rh 102.91 Rh.upf
ATOMIC_POSITIONS crystal
Ni 0.750 0.752 0.750
Ni 0.250 0.248 0.250
Ni 0.750 0.252 0.250
Ni 0.250 0.748 0.750
Ru 0.750 0.419 0.750
Ru 0.250 0.581 0.250
Ru 0.750 0.919 0.250
Ru 0.250 0.081 0.750
Rh 0.750 0.087 0.750
Rh 0.250 0.913 0.250
Rh 0.750 0.587 0.250
Rh 0.250 0.413 0.750
CELL_PARAMETERS angstrom
-1.508 5.176 -0.181
-0.669 -0.470 -7.849
-2.773 -3.600 0.452
! Energy of formation = 48 meV per atom
! N(E_F) = 1.342 states/eV per atom

! NiRuRh (GGA-PBE, relaxed); values from VASP
&SYSTEM
  ibrav = 0, nat = 12, ntyp = 3
/
ATOMIC_SPECIES
Ni 58.69 Ni.upf
Ru 101.07 Ru.upf
Rh 102.91 Rh.upf
ATOMIC_POSITIONS crystal
Ni 0.500 0.000 0.795
Ni 0.500 0.500 0.295
Ni 0.000 0.000 0.465
Ni 0.000 0.500 0.965
Ru 0.500 0.338 0.805
Ru 0.500 0.662 0.805
Ru 0.500 0.838 0.305
Ru 0.500 0.162 0.305
Rh 0.000 0.163 0.955
Rh 0.000 0.837 0.955
Rh 0.000 0.663 0.455
Rh 0.000 0.337 0.455
CELL_PARAMETERS angstrom
-0.211 -3.560 -2.380
2.825 -4.281 6.153
-4.269 -0.721 1.458
! Energy of formation = 63 meV per atom
! N(E_F) = 1.515 states/eV per atom

! NiRuRh (GGA-PBE, relaxed); values from VASP
&SYSTEM
  ibrav = 0, nat = 3, ntyp = 3
/
ATOMIC_SPECIES
Ru 101.07 Ru.upf
Rh 102.91 Rh.upf
Ni 58.69 Ni.upf
ATOMIC_POSITIONS crystal
Ru 0.667 0.333 0.675
Rh 0.333 0.667 0.330
Ni 0.000 0.000 0.996
CELL_PARAMETERS angstrom
-0.171 -1.224 2.368
-1.764 -0.564 -1.925
3.827 -4.672 -2.139
! Energy of formation = 90 meV per atom
! N(E_F) = 1.227 states/eV per atom

! NiRuRh (GGA-PBE, relaxed); values from VASP
&SYSTEM
  ibrav = 0, nat = 12, ntyp = 3
/
ATOMIC_SPECIES
Ni 58.69 Ni.upf
Ru 101.07 Ru.upf
Rh 102.91 Rh.upf
ATOMIC_POSITIONS crystal
Ni 0.745 0.000 0.499
Ni 0.255 0.000 0.501
Ni 0.745 0.500 0.999
Ni 0.255 0.500 0.001
Ru 0.580 0.000 0.165
Ru 0.420 0.000 0.835
Ru 0.580 0.500 0.665
Ru 0.420 0.500 0.335
Rh 0.914 0.000 0.833
Rh 0.086 0.000 0.167
Rh 0.914 0.500 0.333
Rh 0.086 0.500 0.667
CELL_PARAMETERS angstrom
-2.051 4.101 -2.858
-1.542 -2.398 -2.334
-5.497 -2.173 5.862
! Energy of formation = 41 meV per atom
! N(E_F) = 1.260 states/eV per atom

! Ni5RuRh4 (GGA-PBE, relaxed); values from VASP
&SYSTEM
  ibrav = 0, nat = 10, ntyp = 3
/
ATOMIC_SPECIES
Ni 58.69 Ni.upf
Ru 101.07 Ru.upf
Rh 102.91 Rh.upf
ATOMIC_POSITIONS crystal
Ni 0.300 0.202 0.599
Ni 0.098 0.394 0.196
Ni 0.902 0.606 0.804
Ni 0.500 0.500 0.000
Ni 0.700 0.798 0.401
Ru 0.500 0.000 0.000
Rh 0.700 0.298 0.400
Rh 0.099 0.887 0.199
Rh 0.300 0.702 0.600
Rh 0.901 0.113 0.801
CELL_PARAMETERS angstrom
-0.211 3.677 0.580
-3.436 0.412 -3.862
-2.281 -3.092 6.791
! Energy of formation = 62 meV per atom
! N(E_F) = 1.661 states/eV per atom

! Ni2RuRh (GGA-PBE, relaxed); values from VASP
&SYSTEM
  ibrav = 0, nat = 4, ntyp = 3
/
ATOMIC_SPECIES
Ru 101.07 Ru.upf
Rh 102.91 Rh.upf
Ni 58.69 Ni.upf
ATOMIC_POSITIONS crystal
Ru 0.250 0.750 0.500
Rh 0.500 0.500 0.000
Ni 0.000 0.000 0.000
Ni 0.750 0.250 0.500
CELL_PARAMETERS angstrom
-3.360 -2.200 2.174
1.200 -4.291 0.999
2.026 4.036 0.675
! Energy of formation = 45 meV per atom
! N(E_F) = 1.140 states/eV per atom

! NiRuRh (GGA-PBE, relaxed); values from VASP
&SYSTEM
  ibrav = 0, nat = 3, ntyp = 3
/
ATOMIC_SPECIES
Ni 58.69 Ni.upf
Rh 102.91 Rh.upf
Ru 101.07 Ru.upf
ATOMIC_POSITIONS crystal
Ni 0.750 0.750 0.750
Rh 0.000 0.000 0.000
Ru 0.500 0.500 0.500
CELL_PARAMETERS angstrom
-2.792 2.499 -1.338
-2.195 -0.982 -3.171
-3.852 -0.896 0.446
! Energy of formation = 600 meV per atom
! N(E_F) = 1.400 states/eV per atom

! Ni4RuRh (GGA-PBE, relaxed); values from VASP
&SYSTEM
  ibrav = 0, nat = 12, ntyp = 3
/
ATOMIC_SPECIES
Ni 58.69 Ni.upf
Ru 101.07 Ru.upf
Rh 102.91 Rh.upf
ATOMIC_POSITIONS crystal
Ni 0.258 0.000 0.743
Ni 0.742 0.000 0.743
Ni 0.000 0.742 0.257
Ni 0.000 0.258 0.257
Ni 0.500 0.242 0.243
Ni 0.758 0.500 0.757
Ni 0.242 0.500 0.757
Ni 0.500 0.758 0.243
Ru 0.000 0.000 0.500
Ru 0.500 0.500 0.000
Rh 0.000 0.000 0.000
Rh 0.500 0.500 0.500
CELL_PARAMETERS angstrom
4.533 0.000 0.000
0.000 4.533 0.000
0.000 0.000 8.334
! Energy of formation = 829 meV per atom
! N(E_F) = 1.721 states/eV per atom

! Ni2RuRh (GGA-PBE, relaxed); values from VASP
&SYSTEM
  ibrav = 0, nat = 4, ntyp = 3
/
ATOMIC_SPECIES
Ni 58.69 Ni.upf
Rh 102.91 Rh.upf
Ru 101.07 Ru.upf
ATOMIC_POSITIONS crystal
Ni 0.000 0.000 0.008
Ni 0.500 0.500 0.241
Rh 0.000 0.000 0.493
Ru 0.500 0.500 0.759
CELL_PARAMETERS angstrom
-0.548 -0.325 2.517
2.036 -1.278 -0.980
5.183 6.724 1.999
! Energy of formation = 289 meV per atom
! N(E_F) = 1.795 states/eV per atom

! Ni2RuRh5 (GGA-PBE, relaxed); values from VASP
&SYSTEM
  ibrav = 0, nat = 16, ntyp = 3
/
ATOMIC_SPECIES
Ni 58.69 Ni.upf
Ru 101.07 Ru.upf
Rh 102.91 Rh.upf
ATOMIC_POSITIONS crystal
Ni 0.136 0.364 0.000
Ni 0.636 0.136 0.000
Ni 0.364 0.864 0.000
Ni 0.864 0.636 0.000
Ru 0.750 0.750 0.500
Ru 0.250 0.250 0.500
Rh 0.497 0.687 0.684
Rh 0.813 0.003 0.316
Rh 0.000 0.000 0.000
Rh 0.500 0.500 0.000
Rh 0.187 0.997 0.684
Rh 0.687 0.187 0.684
Rh 0.997 0.497 0.684
Rh 0.313 0.813 0.316
Rh 0.003 0.503 0.316
Rh 0.503 0.313 0.316
CELL_PARAMETERS angstrom
6.386 0.000 0.000
0.000 6.386 0.000
-3.193 -3.193 5.404
! Energy of formation = 205 meV per atom
! N(E_F) = 1.702 states/eV per atom

! Ni2Ru2Rh7 (GGA-PBE, relaxed); values from VASP
&SYSTEM
  ibrav = 0, nat = 11, ntyp = 3
/
ATOMIC_SPECIES
Ni 58.69 Ni.upf
Ru 101.07 Ru.upf
Rh 102.91 Rh.upf
ATOMIC_POSITIONS crystal
Ni 0.500 0.121 0.879
Ni 0.500 0.879 0.121
Ru 0.827 0.323 0.323
Ru 0.173 0.677 0.677
Rh 0.210 0.919 0.418
Rh 0.790 0.582 0.081
Rh 0.790 0.081 0.582
Rh 0.210 0.418 0.919
Rh 0.000 0.000 0.000
Rh 0.675 0.658 0.658
Rh 0.325 0.342 0.342
CELL_PARAMETERS angstrom
5.133 -0.156 -0.225
-0.690 5.873 0.039
-0.690 -2.025 5.513
! Energy of formation = 508 meV per atom
! N(E_F) = 1.654 states/eV per atom

! Ni2Ru2Rh7 (GGA-PBE, relaxed); values from VASP
&SYSTEM
  ibrav = 0, nat = 11, ntyp = 3
/
ATOMIC_SPECIES
Ni 58.69 Ni.upf
Ru 101.07 Ru.upf
Rh 102.91 Rh.upf
ATOMIC_POSITIONS crystal
Ni 0.454 0.089 0.734
Ni 0.546 0.911 0.266
Ru 0.813 0.370 0.908
Ru 0.187 0.630 0.092
Rh 0.099 0.820 0.540
Rh 0.266 0.453 0.637
Rh 0.901 0.180 0.460
Rh 0.734 0.547 0.363
Rh 0.636 0.730 0.811
Rh 0.000 0.000 0.000
Rh 0.364 0.270 0.189
CELL_PARAMETERS angstrom
5.469 1.880 1.548
5.604 7.821 5.447
1.947 2.468 6.390
! Energy of formation = 39 meV per atom
! N(E_F) = 1.385 states/eV per atom

! Ni2RuRh (GGA-PBE, relaxed); values from VASP
&SYSTEM
  ibrav = 0, nat = 4, ntyp = 3
/
ATOMIC_SPECIES
Ru 101.07 Ru.upf
Rh 102.91 Rh.upf
Ni 58.69 Ni.upf
ATOMIC_POSITIONS crystal
Ru 0.000 0.000 0.000
Rh 0.500 0.500 0.500
Ni 0.250 0.250 0.250
Ni 0.750 0.750 0.750
CELL_PARAMETERS angstrom
-0.464 0.652 4.063
-3.681 -0.628 1.790
-0.535 -3.207 2.564
! Energy of formation = 190 meV per atom
! N(E_F) = 1.157 states/eV per atom

! NiRuRh (GGA-PBE, relaxed); values from VASP
&SYSTEM
  ibrav = 0, nat = 3, ntyp = 3
/
ATOMIC_SPECIES
Ru 101.07 Ru.upf
Rh 102.91 Rh.upf
Ni 58.69 Ni.upf
ATOMIC_POSITIONS crystal
Ru 0.664 0.664 0.000
Rh 0.334 0.334 0.000
Ni 0.003 0.003 0.000
CELL_PARAMETERS angstrom
-3.879 0.512 2.337
-0.872 -2.709 3.560
2.896 3.014 -1.815
! Energy of formation = 45 meV per atom
! N(E_F) = 1.193 states/eV per atom

! NiRuRh (GGA-PBE, relaxed); values from VASP
&SYSTEM
  ibrav = 0, nat = 6, ntyp = 3
/
ATOMIC_SPECIES
Ni 58.69 Ni.upf
Ru 101.07 Ru.upf
Rh 102.91 Rh.upf
ATOMIC_POSITIONS crystal
Ni 0.990 0.988 0.001
Ni 0.510 0.488 0.999
Ru 0.000 0.989 0.331
Ru 0.500 0.489 0.669
Rh 0.009 0.989 0.674
Rh 0.491 0.489 0.326
CELL_PARAMETERS angstrom
4.500 -0.013 -1.169
0.006 2.666 -0.005
-2.881 0.020 7.352
! Energy of formation = 104 meV per atom
! N(E_F) = 1.625 states/eV per atom

! NiRuRh2 (GGA-PBE, relaxed); values from VASP
&SYSTEM
  ibrav = 0, nat = 8, ntyp = 3
/
ATOMIC_SPECIES
Ru 101.07 Ru.upf
Rh 102.91 Rh.upf
Ni 58.69 Ni.upf
ATOMIC_POSITIONS crystal
Ru 0.000 0.000 0.000
Ru 0.750 0.250 0.500
Rh 0.621 0.125 0.250
Rh 0.129 0.625 0.250
Rh 0.375 0.379 0.750
Rh 0.875 0.871 0.750
Ni 0.500 0.500 0.000
Ni 0.250 0.750 0.500
CELL_PARAMETERS angstrom
6.640 0.000 0.000
0.000 6.640 0.000
3.320 3.320 2.683
! Energy of formation = 594 meV per atom
! N(E_F) = 1.297 states/eV per atom

! Ni3RuRh (GGA-PBE, relaxed); values from VASP
&SYSTEM
  ibrav = 0, nat = 20, ntyp = 3
/
ATOMIC_SPECIES
Ni 58.69 Ni.upf
Ru 101.07 Ru.upf
Rh 102.91 Rh.upf
ATOMIC_POSITIONS crystal
Ni 0.962 0.835 0.594
Ni 0.038 0.165 0.406
Ni 0.462 0.165 0.906
Ni 0.538 0.835 0.094
Ni 0.287 0.785 0.318
Ni 0.713 0.215 0.682
Ni 0.787 0.215 0.183
Ni 0.213 0.785 0.817
Ni 0.909 0.697 0.241
Ni 0.091 0.303 0.759
Ni 0.410 0.303 0.259
Ni 0.590 0.697 0.741
Ru 0.644 0.974 0.398
Ru 0.356 0.026 0.602
Ru 0.145 0.026 0.102
Ru 0.855 0.974 0.898
Rh 0.294 0.510 0.544
Rh 0.706 0.490 0.456
Rh 0.794 0.490 0.956
Rh 0.206 0.510 0.044
CELL_PARAMETERS angstrom
6.197 0.003 0.000
-0.004 4.716 -1.764
0.002 1.833 8.161
! Energy of formation = 274 meV per atom
! N(E_F) = 1.744 states/eV per atom

! NiRuRh (GGA-PBE, relaxed); values from VASP
&SYSTEM
  ibrav = 0, nat = 12, ntyp = 3
/
ATOMIC_SPECIES
Ni 58.69 Ni.upf
Ru 101.07 Ru.upf
Rh 102.91 Rh.upf
ATOMIC_POSITIONS crystal
Ni 0.750 0.918 0.750
Ni 0.250 0.082 0.250
Ni 0.750 0.418 0.250
Ni 0.250 0.582 0.750
Ru 0.750 0.247 0.750
Ru 0.250 0.753 0.250
Ru 0.750 0.747 0.250
Ru 0.250 0.253 0.750
Rh 0.750 0.587 0.750
Rh 0.250 0.413 0.250
Rh 0.750 0.087 0.250
Rh 0.250 0.913 0.750
CELL_PARAMETERS angstrom
5.267 0.000 0.004
0.000 7.873 0.000
-2.606 0.000 3.785
! Energy of formation = 58 meV per atom
! N(E_F) = 1.262 states/eV per atom

! TaNiRuRh (GGA-PBE, relaxed); values from VASP
&SYSTEM
  ibrav = 0, nat = 4, ntyp = 4
/
ATOMIC_SPECIES
Ni 58.69 Ni.upf
Ru 101.07 Ru.upf
Rh 102.91 Rh.upf
Ta 180.95 Ta.upf
ATOMIC_POSITIONS crystal
Ni 0.000 0.000 0.000
Ru 0.750 0.750 0.750
Rh 0.250 0.250 0.250
Ta 0.500 0.500 0.500
CELL_PARAMETERS angstrom
-3.054 2.412 1.915
-3.994 -1.597 0.553
-1.395 -1.025 3.977
! Energy of formation = -214 meV per atom
! N(E_F) = 1.616 states/eV per atom

! TaNiRuRh (GGA-PBE, relaxed); values from VASP
&SYSTEM
  ibrav = 0, nat = 4, ntyp = 4
/
ATOMIC_SPECIES
Ta 180.95 Ta.upf
Ni 58.69 Ni.upf
Ru 101.07 Ru.upf
Rh 102.91 Rh.upf
ATOMIC_POSITIONS crystal
Ta 0.000 0.500 0.500
Ni 0.000 0.000 0.000
Ru 0.500 0.500 0.000
Rh 0.500 0.000 0.500
CELL_PARAMETERS angstrom
3.719 0.000 0.000
0.000 3.940 0.000
0.000 0.000 3.852
! Energy of formation = -392 meV per atom
! N(E_F) = 0.868 states/eV per atom

! TiNiRuRh (GGA-PBE, relaxed); values from VASP
&SYSTEM
  ibrav = 0, nat = 4, ntyp = 4
/
ATOMIC_SPECIES
Ti 47.87 Ti.upf
Ni 58.69 Ni.upf
Ru 101.07 Ru.upf
Rh 102.91 Rh.upf
ATOMIC_POSITIONS crystal
Ti 0.000 0.000 0.000
Ni 0.000 0.500 0.500
Ru 0.500 0.500 0.000
Rh 0.500 0.000 0.500
CELL_PARAMETERS angstrom
3.627 0.000 0.000
0.000 3.842 0.000
0.000 0.000 3.884
! Energy of formation = -428 meV per atom
! N(E_F) = 1.105 states/eV per atom

! TiNi2RuRh (GGA-PBE, relaxed); values from VASP
&SYSTEM
  ibrav = 0, nat = 5, ntyp = 4
/
ATOMIC_SPECIES
Ru 101.07 Ru.upf
Ti 47.87 Ti.upf
Rh 102.91 Rh.upf
Ni 58.69 Ni.upf
ATOMIC_POSITIONS crystal
Ru 0.000 0.000 0.000
Ti 0.000 0.500 0.000
Rh 0.500 0.500 0.500
Ni 0.000 0.000 0.500
Ni 0.500 0.000 0.000
CELL_PARAMETERS angstrom
-0.759 -4.232 1.082
-1.052 -0.893 -4.232
4.241 -0.977 -0.848
! Energy of formation = 1019 meV per atom
! N(E_F) = 1.486 states/eV per atom

! TiNiRuRh (GGA-PBE, relaxed); values from VASP
&SYSTEM
  ibrav = 0, nat = 4, ntyp = 4
/
ATOMIC_SPECIES
Ru 101.07 Ru.upf
Ti 47.87 Ti.upf
Rh 102.91 Rh.upf
Ni 58.69 Ni.upf
ATOMIC_POSITIONS crystal
Ru 0.750 0.750 0.750
Ti 0.000 0.000 0.000
Rh 0.250 0.250 0.250
Ni 0.500 0.500 0.500
CELL_PARAMETERS angstrom
-1.006 1.733 3.761
-3.229 -1.590 2.283
0.786 -2.131 3.606
! Energy of formation = -296 meV per atom
! N(E_F) = 1.461 states/eV per atom

! TlNiRu2Rh (GGA-PBE, relaxed); values from VASP
&SYSTEM
  ibrav = 0, nat = 5, ntyp = 4
/
ATOMIC_SPECIES
Ru 101.07 Ru.upf
Tl 204.38 Tl.upf
Rh 102.91 Rh.upf
Ni 58.69 Ni.upf
ATOMIC_POSITIONS crystal
Ru 0.000 0.000 0.500
Ru 0.500 0.000 0.000
Tl 0.000 0.000 0.000
Rh 0.500 0.500 0.500
Ni 0.000 0.500 0.000
CELL_PARAMETERS angstrom
-0.287 -4.944 0.340
0.465 -0.341 -4.565
4.930 -0.250 0.521
! Energy of formation = 2274 meV per atom
! N(E_F) = 1.182 states/eV per atom

! NiRuRhW (GGA-PBE, relaxed); values from VASP
&SYSTEM
  ibrav = 0, nat = 4, ntyp = 4
/
ATOMIC_SPECIES
Ru 101.07 Ru.upf
Rh 102.91 Rh.upf
W 183.84 W.upf
Ni 58.69 Ni.upf
ATOMIC_POSITIONS crystal
Ru 0.750 0.750 0.750
Rh 0.250 0.250 0.250
W 0.500 0.500 0.500
Ni 0.000 0.000 0.000
CELL_PARAMETERS angstrom
4.292 0.000 0.000
2.146 3.717 0.000
2.146 1.239 3.504
! Energy of formation = 35 meV per atom
! N(E_F) = 1.278 states/eV per atom